# 1
# Na3Ac2Sn5 | the Alexandria database | PBE | relaxed
data_Na3Ac2Sn5
_chemical_formula_sum 'Na6 Ac4 Sn10'
_cell_length_a 10.4739
_cell_length_b 10.4739
_cell_length_c 10.4739
_cell_angle_alpha 110.98
_cell_angle_beta 80.97
_cell_angle_gamma 143.03
_symmetry_space_group_name_H-M 'P 1'
_symmetry_Int_Tables_number 1
loop_
_symmetry_equiv_pos_as_xyz
'x,y,z'
loop_
_atom_site_label
_atom_site_type_symbol
_atom_site_fract_x
_atom_site_fract_y
_atom_site_fract_z
_atom_site_occupancy
Na1 Na 0.1527 0.5824 0.7351 1
Na2 Na 0.2500 0.2500 0.0000 1
Na3 Na 0.3473 0.0824 0.4297 1
Na4 Na 0.6527 0.9176 0.5703 1
Na5 Na 0.7500 0.7500 0.0000 1
Na6 Na 0.8473 0.4176 0.2649 1
Ac1 Ac 0.1058 0.2670 0.3727 1
Ac2 Ac 0.3942 0.7670 0.1612 1
Ac3 Ac 0.6058 0.2330 0.8388 1
Ac4 Ac 0.8942 0.7330 0.6273 1
Sn1 Sn 0.0531 0.2500 0.8031 1
Sn2 Sn 0.1039 0.8250 0.9288 1
Sn3 Sn 0.2500 0.7500 0.5000 1
Sn4 Sn 0.3961 0.3250 0.7211 1
Sn5 Sn 0.4469 0.2500 0.1969 1
Sn6 Sn 0.5531 0.7500 0.8031 1
Sn7 Sn 0.6039 0.6750 0.2789 1
Sn8 Sn 0.7500 0.2500 0.5000 1
Sn9 Sn 0.8961 0.1750 0.0712 1
Sn10 Sn 0.9469 0.7500 0.1969 1
# - formation energy from the elements (eV/atom) = -0.29
# - symmetry = Ibam (72)

***

# 2
# Na3Ac4Sn5 | the Alexandria database | PBE | relaxed
data_Na3Ac4Sn5
_chemical_formula_sum 'Na3 Ac4 Sn5'
_cell_length_a 7.7250
_cell_length_b 7.7250
_cell_length_c 13.5221
_cell_angle_alpha 116.63
_cell_angle_beta 116.63
_cell_angle_gamma 39.88
_symmetry_space_group_name_H-M 'P 1'
_symmetry_Int_Tables_number 1
loop_
_symmetry_equiv_pos_as_xyz
'x,y,z'
loop_
_atom_site_label
_atom_site_type_symbol
_atom_site_fract_x
_atom_site_fract_y
_atom_site_fract_z
_atom_site_occupancy
Na1 Na 0.0000 0.0000 0.0000 1
Na2 Na 0.3089 0.3089 0.7687 1
Na3 Na 0.6911 0.6911 0.2313 1
Ac1 Ac 0.3608 0.3608 0.4906 1
Ac2 Ac 0.4122 0.4122 0.1827 1
Ac3 Ac 0.5878 0.5878 0.8173 1
Ac4 Ac 0.6392 0.6392 0.5094 1
Sn1 Sn 0.0650 0.0650 0.6275 1
Sn2 Sn 0.0988 0.0988 0.3067 1
Sn3 Sn 0.5000 0.5000 0.0000 1
Sn4 Sn 0.9012 0.9012 0.6933 1
Sn5 Sn 0.9350 0.9350 0.3725 1
# - formation energy from the elements (eV/atom) = -0.29
# - symmetry = C2/m (12)

***

# 3
# NaAc7Sn4 | the Alexandria database | PBE | relaxed
data_NaAc7Sn4
_chemical_formula_sum 'Na1 Ac7 Sn4'
_cell_length_a 8.7102
_cell_length_b 8.7102
_cell_length_c 11.9831
_cell_angle_alpha 124.29
_cell_angle_beta 124.29
_cell_angle_gamma 40.48
_symmetry_space_group_name_H-M 'P 1'
_symmetry_Int_Tables_number 1
loop_
_symmetry_equiv_pos_as_xyz
'x,y,z'
loop_
_atom_site_label
_atom_site_type_symbol
_atom_site_fract_x
_atom_site_fract_y
_atom_site_fract_z
_atom_site_occupancy
Na1 Na 0.0000 0.0000 0.0000 1
Ac1 Ac 0.0764 0.0764 0.3355 1
Ac2 Ac 0.2088 0.2088 0.8664 1
Ac3 Ac 0.3456 0.3456 0.4212 1
Ac4 Ac 0.5000 0.5000 0.0000 1
Ac5 Ac 0.6544 0.6544 0.5788 1
Ac6 Ac 0.7912 0.7912 0.1336 1
Ac7 Ac 0.9236 0.9236 0.6645 1
Sn1 Sn 0.2891 0.2891 0.6654 1
Sn2 Sn 0.4245 0.4245 0.2180 1
Sn3 Sn 0.5755 0.5755 0.7820 1
Sn4 Sn 0.7109 0.7109 0.3346 1
# - formation energy from the elements (eV/atom) = -0.28
# - symmetry = C2/m (12)

***

# 4
# NaAc5Sn4 | the Alexandria database | PBE | relaxed
data_NaAc5Sn4
_chemical_formula_sum 'Na1 Ac5 Sn4'
_cell_length_a 10.6114
_cell_length_b 10.6114
_cell_length_c 10.4043
_cell_angle_alpha 106.15
_cell_angle_beta 106.15
_cell_angle_gamma 21.77
_symmetry_space_group_name_H-M 'P 1'
_symmetry_Int_Tables_number 1
loop_
_symmetry_equiv_pos_as_xyz
'x,y,z'
loop_
_atom_site_label
_atom_site_type_symbol
_atom_site_fract_x
_atom_site_fract_y
_atom_site_fract_z
_atom_site_occupancy
Na1 Na 0.0000 0.0000 0.0000 1
Ac1 Ac 0.0000 0.0000 0.5000 1
Ac2 Ac 0.3304 0.3304 0.6499 1
Ac3 Ac 0.3365 0.3365 0.1672 1
Ac4 Ac 0.6635 0.6635 0.8328 1
Ac5 Ac 0.6696 0.6696 0.3501 1
Sn1 Sn 0.1678 0.1678 0.0951 1
Sn2 Sn 0.4969 0.4969 0.7515 1
Sn3 Sn 0.5031 0.5031 0.2485 1
Sn4 Sn 0.8322 0.8322 0.9049 1
# - formation energy from the elements (eV/atom) = -0.18
# - symmetry = C2/m (12)

***

Number 1: size of the total moment 0.0 μB/f.u.. Number 2: size of the total moment 0.0 μB/f.u.. Number 3: size of the total moment 0.0 μB/f.u.. Number 4: size of the total moment 0.0 μB/f.u..